VASP calculation (PBE-GGA) on crystalline Rh2Br4Cl at its relaxed geometry.

Results
D(E_F)	0.6727	states/eV per atom
formation energy (no corrections)	0.42	eV/atom
crystal system	tetragonal

CIF file:
```
data_Rh2Br4Cl
_chemical_formula_sum 'Rh4 Br8 Cl2'
_cell_length_a 5.290
_cell_length_b 5.290
_cell_length_c 15.588
_cell_angle_alpha 90.00
_cell_angle_beta 90.00
_cell_angle_gamma 90.00
_space_group_name_H-M_alt 'I 4/m m m'
_space_group_IT_number 139
_space_group_name_Hall '-I 4 2'
loop_
_atom_site_label
_atom_site_fract_x
_atom_site_fract_y
_atom_site_fract_z
Rh1 0.000 0.000 0.075
Br1 0.000 0.000 0.229
Br2 0.000 0.500 0.000
Cl1 0.000 0.000 0.500
```